Entry from the Alexandria database: crystalline ErFeBO4 at its relaxed geometry (PBE+U).

Output
Total DFT energy (no corrections)   -7.459 eV per atom

The structure in CIF format:
```
data_ErFeBO4
_chemical_formula_sum 'Er4 Fe4 B4 O16'
_cell_length_a 5.7517
_cell_length_b 6.0615
_cell_length_c 8.1573
_cell_angle_alpha 90.00
_cell_angle_beta 90.00
_cell_angle_gamma 90.00
_space_group_name_H-M_alt 'I m m a'
_space_group_IT_number 74
_space_group_name_Hall '-I 2b 2'
loop_
_atom_site_label
_atom_site_type_symbol
_atom_site_fract_x
_atom_site_fract_y
_atom_site_fract_z
_atom_site_occupancy
Er1 Er 0.0000 0.0000 0.0000 1
Fe1 Fe 0.2500 0.2500 0.2500 1
B1 B 0.0000 0.2500 0.6188 1
O1 O 0.0000 0.0381 0.7280 1
O2 O 0.2163 0.2500 0.5097 1
```